No. 1
! Rb2Tl2Au3 PBE optimized geometry; values from VASP
&SYSTEM
  ibrav = 0, nat = 7, ntyp = 3
/
ATOMIC_SPECIES
Rb 85.47 Rb.upf
Tl 204.38 Tl.upf
Au 196.97 Au.upf
ATOMIC_POSITIONS crystal
Rb 0.139 0.139 0.344
Rb 0.861 0.861 0.656
Tl 0.405 0.405 0.124
Tl 0.595 0.595 0.876
Au 0.210 0.210 0.896
Au 0.500 0.500 0.500
Au 0.790 0.790 0.104
CELL_PARAMETERS angstrom
6.959 -2.472 0.000
6.959 2.472 0.000
-0.881 0.000 7.072
! Energy relative to the elements in eV per atom: -0.181
! Excess energy over the best structure of this formula in the dataset in meV per atom: 0
! Raw total energy in eV for the cell shown: -17.8


No. 2
! TlGa2CuHg PBE optimized geometry; values from VASP
&SYSTEM
  ibrav = 0, nat = 5, ntyp = 4
/
ATOMIC_SPECIES
Tl 204.38 Tl.upf
Ga 69.72 Ga.upf
Cu 63.55 Cu.upf
Hg 200.59 Hg.upf
ATOMIC_POSITIONS crystal
Tl 0.000 0.000 0.000
Ga 0.000 0.500 0.500
Ga 0.500 0.000 0.500
Cu 0.500 0.500 0.500
Hg 0.500 0.500 0.000
CELL_PARAMETERS angstrom
4.729 0.000 0.000
0.000 4.729 0.000
0.000 0.000 5.302
! Energy relative to the elements in eV per atom: 0.128
! Excess energy over the best structure of this formula in the dataset in meV per atom: 0
! Raw total energy in eV for the cell shown: -12.2


No. 3
! TlGe2Bi2 PBE optimized geometry; values from VASP
&SYSTEM
  ibrav = 0, nat = 10, ntyp = 3
/
ATOMIC_SPECIES
Tl 204.38 Tl.upf
Ge 72.64 Ge.upf
Bi 208.98 Bi.upf
ATOMIC_POSITIONS crystal
Tl 0.000 0.000 0.000
Tl 0.500 0.500 0.000
Ge 0.125 0.375 0.000
Ge 0.375 0.875 0.000
Ge 0.625 0.125 0.000
Ge 0.875 0.625 0.000
Bi 0.155 0.655 0.500
Bi 0.345 0.155 0.500
Bi 0.655 0.845 0.500
Bi 0.845 0.345 0.500
CELL_PARAMETERS angstrom
8.453 0.000 0.000
0.000 8.453 0.000
0.000 0.000 3.889
! Energy relative to the elements in eV per atom: 0.181
! Excess energy over the best structure of this formula in the dataset in meV per atom: 22
! Raw total energy in eV for the cell shown: -36.9


| no. | ρ (Mg/m³) |
| --- | --- |
| 1 | 7.990 |
| 2 | 8.515 |
| 3 | 9.175 |